1.
# YBeAg2

A relaxed structure of YBeAg2 (PBE, Alexandria via LeMat-Bulk).

Crystal system ... monoclinic
Total DFT energy (no corrections) ... -3.910 eV per atom
Energy relative to the elements ... 0.063 eV per atom
Space group ... P2/m, No. 10

Unit cell a=4.1259 b=3.4858 c=5.6133 alpha=76.98 beta=90.00 gamma=90.00
Last column: nearest neighbours and their distance in Å.
Element x y z (fractional)
Be: 0.5000 0.2500 0.2500  4 Ag 2.48
Ag: 0.0000 0.1295 0.0318  2 Be 2.48, 1 Ag 2.76
Ag: 0.0000 0.3705 0.4682  2 Be 2.48, 1 Ag 2.76
Y: 0.5000 0.7500 0.7500  2 Be 2.95, 8 Ag 3.07-3.15

---

2.
# Nd2DyRh

A relaxed structure of Nd2DyRh (PBE, Alexandria via LeMat-Bulk).

Crystal system ... orthorhombic
Total DFT energy (no corrections) ... -5.732 eV per atom
Energy relative to the lowest polymorph listed for this composition ... 35 kJ/mol of formula units
Energy relative to the elements ... -0.359 eV per atom
Space group ... Pnna, No. 52

Unit cell a=6.4480 b=6.7275 c=11.5290 alpha=89.99 beta=90.00 gamma=90.00
Last column: nearest neighbours and their distance in Å.
Element x y z (fractional)
Dy: 0.7500 0.4284 0.7500  2 Rh 2.73
Dy: 0.7500 0.9284 0.2500  2 Rh 2.73
Dy: 0.2500 0.0716 0.7500  2 Rh 2.73
Dy: 0.2500 0.5716 0.2500  2 Rh 2.73
Nd: 0.7565 0.4096 0.0869  2 Rh 2.83-2.84
Nd: 0.2434 0.0903 0.0869  2 Rh 2.83-2.84
Nd: 0.2435 0.5904 0.9131  2 Rh 2.83-2.84
Nd: 0.2565 0.0904 0.4131  2 Rh 2.83-2.84
Nd: 0.7434 0.4097 0.4131  2 Rh 2.83-2.84
Nd: 0.7435 0.9096 0.5869  2 Rh 2.83-2.84
Nd: 0.2566 0.5903 0.5869  2 Rh 2.83-2.84
Nd: 0.7566 0.9097 0.9131  2 Rh 2.83-2.84
Rh: 0.5000 0.7500 0.0900  2 Dy 2.73, 4 Nd 2.83-2.84
Rh: 0.0000 0.7500 0.4100  2 Dy 2.73, 4 Nd 2.83-2.84
Rh: 0.5000 0.2500 0.9100  2 Dy 2.73, 4 Nd 2.83-2.84
Rh: 0.0000 0.2500 0.5900  2 Dy 2.73, 4 Nd 2.83-2.84

---

3.
# Y3Ta5N12

A relaxed structure of Y3Ta5N12 (PBE, Alexandria via LeMat-Bulk).

Crystal system ... cubic
Total DFT energy (no corrections) ... -10.017 eV per atom
E_form (uncorrected) ... -1.09 eV/atom
Space group ... Ia-3d, No. 230

Unit cell a=11.2273 b=11.2273 c=11.2273 alpha=109.47 beta=109.47 gamma=109.47
Last column: nearest neighbours and their distance in Å.
Element x y z (fractional)
N: 0.1784 0.0940 0.9743  2 Ta 1.94-2.09
N: 0.4743 0.6784 0.0940  2 Ta 1.94-2.09
N: 0.2959 0.4156 0.8216  2 Ta 1.94-2.09
N: 0.9743 0.5940 0.1784  2 Ta 1.94-2.09
N: 0.5844 0.8803 0.4060  2 Ta 1.94-2.09
N: 0.8803 0.5844 0.9060  2 Ta 1.94-2.09
N: 0.5940 0.9743 0.6784  2 Ta 1.94-2.09
N: 0.6197 0.5940 0.9156  2 Ta 1.94-2.09
N: 0.4156 0.1197 0.5940  2 Ta 1.94-2.09
N: 0.2041 0.6784 0.0844  2 Ta 1.94-2.09
N: 0.4156 0.2959 0.3216  2 Ta 1.94-2.09
N: 0.0940 0.1784 0.4743  2 Ta 1.94-2.09
N: 0.5844 0.7041 0.6784  2 Ta 1.94-2.09
N: 0.1197 0.4156 0.0940  2 Ta 1.94-2.09
N: 0.4060 0.3803 0.5844  2 Ta 1.94-2.09
N: 0.8216 0.9060 0.0257  2 Ta 1.94-2.09
N: 0.8803 0.2959 0.4743  2 Ta 1.94-2.09
N: 0.7041 0.5844 0.1784  2 Ta 1.94-2.09
N: 0.5940 0.6197 0.4156  2 Ta 1.94-2.09
N: 0.9060 0.8216 0.5257  2 Ta 1.94-2.09
N: 0.8216 0.9156 0.2959  2 Ta 1.94-2.09
N: 0.7041 0.1197 0.0257  2 Ta 1.94-2.09
N: 0.2041 0.5257 0.6197  2 Ta 1.94-2.09
N: 0.2959 0.8803 0.9743  2 Ta 1.94-2.09
N: 0.3803 0.4060 0.0844  2 Ta 1.94-2.09
N: 0.0844 0.1784 0.2041  2 Ta 1.94-2.09
N: 0.9743 0.3803 0.2959  2 Ta 1.94-2.09
N: 0.0844 0.9060 0.3803  2 Ta 1.94-2.09
N: 0.0257 0.6197 0.7041  2 Ta 1.94-2.09
N: 0.6197 0.0257 0.2041  2 Ta 1.94-2.09
N: 0.9060 0.0844 0.8803  2 Ta 1.94-2.09
N: 0.7959 0.3216 0.9156  2 Ta 1.94-2.09
N: 0.3216 0.5257 0.4060  2 Ta 1.94-2.09
N: 0.1197 0.7041 0.5257  2 Ta 1.94-2.09
N: 0.7959 0.4743 0.3803  2 Ta 1.94-2.09
N: 0.6784 0.4743 0.5940  2 Ta 1.94-2.09
N: 0.4743 0.7959 0.8803  2 Ta 1.94-2.09
N: 0.6784 0.2041 0.5844  2 Ta 1.94-2.09
N: 0.9156 0.8216 0.7959  2 Ta 1.94-2.09
N: 0.3216 0.7959 0.4156  2 Ta 1.94-2.09
N: 0.4060 0.0257 0.3216  2 Ta 1.94-2.09
N: 0.5257 0.3216 0.9060  2 Ta 1.94-2.09
N: 0.5257 0.2041 0.1197  2 Ta 1.94-2.09
N: 0.0257 0.4060 0.8216  2 Ta 1.94-2.09
N: 0.0940 0.9156 0.1197  2 Ta 1.94-2.09
N: 0.3803 0.9743 0.7959  2 Ta 1.94-2.09
N: 0.9156 0.0940 0.6197  2 Ta 1.94-2.09
N: 0.1784 0.0844 0.7041  2 Ta 1.94-2.09
Ta: 0.3750 0.1250 0.7500  4 N 1.94
Ta: 0.3750 0.2500 0.1250  4 N 1.94
Ta: 0.7500 0.1250 0.8750  4 N 1.94
Ta: 0.5000 0.0000 0.0000  6 N 2.09
Ta: 0.5000 0.0000 0.5000  6 N 2.09
Ta: 0.8750 0.2500 0.6250  4 N 1.94
Ta: 0.5000 0.5000 0.5000  6 N 2.09
Ta: 0.1250 0.3750 0.2500  4 N 1.94
Ta: 0.0000 0.0000 0.0000  6 N 2.09
Ta: 0.2500 0.3750 0.6250  4 N 1.94
Ta: 0.0000 0.5000 0.5000  6 N 2.09
Ta: 0.0000 0.5000 0.0000  6 N 2.09
Ta: 0.6250 0.7500 0.8750  4 N 1.94
Ta: 0.6250 0.8750 0.2500  4 N 1.94
Ta: 0.8750 0.6250 0.7500  4 N 1.94
Ta: 0.5000 0.5000 0.0000  6 N 2.09
Ta: 0.7500 0.6250 0.3750  4 N 1.94
Ta: 0.1250 0.7500 0.3750  4 N 1.94
Ta: 0.2500 0.8750 0.1250  4 N 1.94
Ta: 0.0000 0.0000 0.5000  6 N 2.09
Y: 0.6250 0.2500 0.3750  8 N 2.50-2.57
Y: 0.8750 0.1250 0.2500  8 N 2.50-2.57
Y: 0.7500 0.3750 0.1250  8 N 2.50-2.57
Y: 0.3750 0.7500 0.6250  8 N 2.50-2.57
Y: 0.2500 0.1250 0.3750  8 N 2.50-2.57
Y: 0.3750 0.6250 0.2500  8 N 2.50-2.57
Y: 0.2500 0.6250 0.8750  8 N 2.50-2.57
Y: 0.8750 0.7500 0.1250  8 N 2.50-2.57
Y: 0.6250 0.3750 0.7500  8 N 2.50-2.57
Y: 0.1250 0.2500 0.8750  8 N 2.50-2.57
Y: 0.7500 0.8750 0.6250  8 N 2.50-2.57
Y: 0.1250 0.8750 0.7500  8 N 2.50-2.57